[1]
{
  "formula": "Ba2ZrRe",
  "functional": "GGA-PBE",
  "state": "optimized geometry",
  "e_above_lowest_polymorph_mev_per_atom": 753,
  "formation_energy_ev_per_atom": 1.205,
  "lattice_angstrom": [[-4.1242, 3.9613, 0.6716], [-2.0361, -1.8444, -1.6246], [-2.9996, -3.8156, 4.0860]],
  "species": ["Ba", "Ba", "Re", "Zr"],
  "fractional_positions": [[0.0000, 0.0873, 0.0077], [0.0000, 0.4127, 0.4923], [0.5000, 0.2500, 0.2500], [0.5000, 0.7500, 0.7500]]
}

[2]
{
  "formula": "PS2I",
  "functional": "GGA-PBE",
  "state": "optimized geometry",
  "e_above_lowest_polymorph_mev_per_atom": 1002,
  "formation_energy_uncorrected_kj_per_mol_atoms": 103,
  "lattice_angstrom": [[1.3348, -1.0123, 4.4887], [-1.7408, 2.5650, 3.6531], [-3.1287, -1.9796, 3.0409]],
  "species": ["I", "P", "S", "S"],
  "fractional_positions": [[0.5000, 0.5000, 0.5000], [0.0000, 0.0000, 0.0000], [0.2500, 0.2500, 0.2500], [0.7500, 0.7500, 0.7500]]
}

[3]
{
  "formula": "ZrNi6As2",
  "functional": "GGA-PBE",
  "state": "optimized geometry",
  "formation_energy_ev_per_atom": -0.233,
  "lattice_angstrom": [[-1.3750, -2.3237, 2.9364], [3.3689, -4.8573, 0.4324], [3.2312, 0.8616, 4.8936]],
  "species": ["Zr", "Ni", "Ni", "Ni", "Ni", "Ni", "Ni", "As", "As"],
  "fractional_positions": [[0.0000, 0.0000, 0.0000], [0.1880, 0.1313, 0.4930], [0.8120, 0.8687, 0.5070], [0.8120, 0.5070, 0.8687], [0.5000, 0.7427, 0.2573], [0.5000, 0.2573, 0.7427], [0.1880, 0.4930, 0.1313], [0.3174, 0.6823, 0.6823], [0.6826, 0.3177, 0.3177]]
}

[4]
{
  "formula": "Zn3GePt",
  "functional": "GGA-PBE",
  "state": "optimized geometry",
  "e_above_lowest_polymorph_mev_per_atom": 393,
  "formation_energy_ev_per_atom": 0.610,
  "lattice_angstrom": [[-4.4388, 0.3684, -1.3352], [-0.7430, -4.4162, 1.2516], [-1.1689, 1.4081, 4.2746]],
  "species": ["Ge", "Zn", "Zn", "Zn", "Pt"],
  "fractional_positions": [[0.0000, 0.0000, 0.0000], [0.0000, 0.5000, 0.0000], [0.0000, 0.0000, 0.5000], [0.5000, 0.0000, 0.0000], [0.5000, 0.5000, 0.5000]]
}

[5]
{
  "formula": "CdTeW2",
  "functional": "GGA-PBE",
  "state": "optimized geometry",
  "e_above_lowest_polymorph_mev_per_atom": 336,
  "formation_energy_uncorrected_kj_per_mol_atoms": 74,
  "lattice_angstrom": [[-1.2434, -2.8129, -4.2124], [-0.3501, -4.8832, -1.7985], [-4.8584, -1.4606, 0.5452]],
  "species": ["Te", "W", "W", "Cd"],
  "fractional_positions": [[0.7358, 0.7358, 0.7807], [0.9703, 0.9703, 0.0067], [0.2774, 0.2774, 0.2523], [0.5165, 0.5165, 0.4604]]
}

[6]
{
  "formula": "YZnCl2",
  "functional": "GGA-PBE",
  "state": "optimized geometry",
  "e_above_lowest_polymorph_mev_per_atom": 291,
  "formation_energy_uncorrected_kj_per_mol_atoms": -89,
  "lattice_angstrom": [[3.7355, 0.0000, 0.0000], [0.0000, 5.3214, 0.0000], [0.0000, 0.0000, 4.3774]],
  "species": ["Y", "Zn", "Cl", "Cl"],
  "fractional_positions": [[0.5000, 0.0000, 0.5000], [0.0000, 0.5000, 0.5000], [0.0000, 0.0000, 0.0000], [0.5000, 0.5000, 0.0000]]
}

[7]
{
  "formula": "Cu12S3F5",
  "functional": "GGA-PBE",
  "state": "optimized geometry",
  "formation_energy_uncorrected_kj_per_mol_atoms": -40,
  "lattice_angstrom": [[11.3402, 0.0000, 0.0000], [-3.7801, 10.6917, 0.0000], [-3.7801, -5.3458, 9.2593]],
  "species": ["S", "S", "S", "S", "S", "S", "S", "S", "S", "S", "S", "S", "Cu", "Cu", "Cu", "Cu", "Cu", "Cu", "Cu", "Cu", "Cu", "Cu", "Cu", "Cu", "Cu", "Cu", "Cu", "Cu", "Cu", "Cu", "Cu", "Cu", "Cu", "Cu", "Cu", "Cu", "Cu", "Cu", "Cu", "Cu", "Cu", "Cu", "Cu", "Cu", "Cu", "Cu", "Cu", "Cu", "Cu", "Cu", "Cu", "Cu", "Cu", "Cu", "Cu", "Cu", "Cu", "Cu", "Cu", "Cu", "F", "F", "F", "F", "F", "F", "F", "F", "F", "F", "F", "F", "F", "F", "F", "F", "F", "F", "F", "F"],
  "fractional_positions": [[0.7500, 0.3750, 0.1250], [0.8750, 0.7500, 0.1250], [0.3750, 0.7500, 0.6250], [0.2500, 0.1250, 0.3750], [0.8750, 0.1250, 0.2500], [0.3750, 0.6250, 0.2500], [0.6250, 0.3750, 0.7500], [0.1250, 0.8750, 0.7500], [0.7500, 0.8750, 0.6250], [0.6250, 0.2500, 0.3750], [0.1250, 0.2500, 0.8750], [0.2500, 0.6250, 0.8750], [0.7367, 0.1296, 0.0592], [0.3225, 0.5592, 0.4296], [0.9408, 0.3704, 0.2633], [0.5592, 0.2367, 0.1296], [0.6071, 0.7367, 0.6775], [0.9408, 0.5704, 0.1775], [0.3225, 0.7633, 0.3929], [0.0704, 0.8929, 0.1296], [0.5704, 0.9408, 0.6775], [0.7367, 0.6071, 0.1775], [0.7633, 0.4408, 0.3704], [0.8225, 0.9296, 0.0592], [0.1296, 0.7367, 0.5592], [0.3704, 0.4296, 0.1071], [0.1071, 0.9296, 0.3704], [0.3929, 0.1296, 0.5704], [0.1071, 0.1775, 0.2367], [0.4408, 0.6775, 0.0704], [0.8225, 0.8929, 0.2633], [0.1296, 0.3929, 0.0704], [0.3704, 0.9408, 0.7633], [0.5704, 0.6296, 0.3929], [0.9296, 0.8225, 0.5592], [0.7633, 0.3225, 0.8929], [0.4296, 0.3704, 0.6071], [0.0704, 0.1775, 0.4408], [0.2367, 0.6775, 0.1071], [0.1775, 0.1071, 0.7367], [0.6296, 0.0592, 0.2367], [0.8704, 0.6071, 0.9296], [0.5592, 0.3225, 0.9296], [0.6071, 0.8704, 0.4296], [0.8929, 0.8225, 0.7633], [0.8929, 0.0704, 0.6296], [0.8704, 0.2633, 0.4408], [0.1775, 0.0704, 0.9408], [0.6296, 0.5704, 0.8929], [0.4296, 0.0592, 0.3225], [0.2633, 0.3929, 0.8225], [0.2367, 0.5592, 0.6296], [0.9296, 0.1071, 0.8704], [0.6775, 0.2367, 0.6071], [0.4408, 0.7633, 0.8704], [0.0592, 0.4296, 0.8225], [0.3929, 0.2633, 0.3225], [0.0592, 0.6296, 0.7367], [0.6775, 0.4408, 0.5704], [0.2633, 0.8704, 0.9408], [0.1250, 0.3750, 0.2500], [0.0000, 0.5000, 0.0000], [0.0000, 0.0000, 0.0000], [0.3750, 0.2500, 0.1250], [0.5000, 0.0000, 0.5000], [0.5000, 0.5000, 0.0000], [0.1250, 0.7500, 0.3750], [0.7500, 0.1250, 0.8750], [0.7500, 0.6250, 0.3750], [0.3750, 0.1250, 0.7500], [0.6250, 0.8750, 0.2500], [0.5000, 0.5000, 0.5000], [0.5000, 0.0000, 0.0000], [0.0000, 0.0000, 0.5000], [0.2500, 0.3750, 0.6250], [0.2500, 0.8750, 0.1250], [0.0000, 0.5000, 0.5000], [0.8750, 0.2500, 0.6250], [0.6250, 0.7500, 0.8750], [0.8750, 0.6250, 0.7500]]
}

[8]
{
  "formula": "CaPb3Au",
  "functional": "GGA-PBE",
  "state": "optimized geometry",
  "e_above_lowest_polymorph_mev_per_atom": 716,
  "formation_energy_ev_per_atom": 0.764,
  "lattice_angstrom": [[-3.5427, -2.5351, -3.9028], [-1.7534, -3.8165, 4.0706], [-4.3109, 3.6356, 1.5517]],
  "species": ["Pb", "Pb", "Pb", "Ca", "Au"],
  "fractional_positions": [[0.0000, 0.5000, 0.0000], [0.0000, 0.0000, 0.5000], [0.5000, 0.0000, 0.0000], [0.0000, 0.0000, 0.0000], [0.5000, 0.5000, 0.5000]]
}